1.
## CeZnAgPt (PBE-GGA)

Data for a geometry-optimized CeZnAgPt structure.

- SG: F-43m (216)
- Uncorrected energy: -4.473 eV/atom
- Size of the total moment: 0.4 μB/cell
- Calculated volume: 20.069 Å³/atom
- Energy relative to the elements: -0.448 eV/atom

Cell: 4.8421 4.8421 4.8421 Å, 60.00 60.00 60.00°
Sites, in units of the cell vectors:
Ce  0.0000  0.0000  0.0000
Zn  0.5000  0.5000  0.5000
Ag  0.2500  0.2500  0.2500
Pt  0.7500  0.7500  0.7500

2.
## Cs4In2Au5 (PBE-GGA)

Data for a geometry-optimized Cs4In2Au5 structure.

- SG: Ibam (72)
- Uncorrected energy: -2.481 eV/atom
- Size of the total moment: 0.0 μB/cell
- Calculated volume: 35.922 Å³/atom
- Energy relative to the elements: -0.183 eV/atom

Cell: 12.7394 12.7394 12.7394 Å, 130.74 59.09 149.44°
Sites, in units of the cell vectors:
Cs  0.0576  0.7201  0.7776
Cs  0.1456  0.1125  0.2581
Cs  0.3544  0.6125  0.9669
Cs  0.4424  0.2201  0.6625
Cs  0.5576  0.7799  0.3375
Cs  0.6456  0.3875  0.0331
Cs  0.8544  0.8875  0.7419
Cs  0.9424  0.2799  0.2224
In  0.0451  0.7500  0.2951
In  0.4549  0.7500  0.7049
In  0.5451  0.2500  0.2951
In  0.9549  0.2500  0.7049
Au  0.1051  0.4201  0.5252
Au  0.2266  0.8129  0.0395
Au  0.2500  0.2500  0.0000
Au  0.2734  0.3129  0.5863
Au  0.3949  0.9201  0.3151
Au  0.6051  0.0799  0.6849
Au  0.7266  0.6871  0.4137
Au  0.7500  0.7500  0.0000
Au  0.7734  0.1871  0.9605
Au  0.8949  0.5799  0.4748

Q: What is the calculated volume in the first record?
A: 20.069 Å³/atom

Q: Look up the size of the total moment of the first one.
A: 0.4 μB/cell

Q: What is the size of the total moment in the first record?
A: 0.4 μB/cell

Q: Which of these has the highest energy relative to the elements?
A: Cs4In2Au5